A relaxed BeHgMoOs2 crystal, computed with GGA-PBE.

Calculated values
* V: 97.47 Å³ per cell
* DOS(E_F): 5.8 states/eV/cell
* energy: -5.68 eV/atom
* total magnetic moment: 0.1 μB/f.u.

Unit cell a=4.720 b=4.720 c=4.375 alpha=90.00 beta=90.00 gamma=90.00
Space group P4/mmm (No. 123)
One atom of each set of equivalent atoms:
Be1 0.000 0.000 0.000
Hg1 0.500 0.500 0.000
Mo1 0.000 0.000 0.500
Os1 0.000 0.500 0.500